[1]
A plane-wave DFT calculation with PBE-GGA was carried out for an optimized crystal structure of KCa4Cr.

Cell: 10.1277 10.1277 10.1277 Å, 90.00 90.00 90.00°
Space group F-43m (No. 216)
Unique sites:
K1 0.0000 0.0000 0.0000
Ca1 0.1242 0.1242 0.6242
Cr1 0.2500 0.2500 0.2500

- Calculated volume: 1038.8 Å³ per cell
- VASP energy: -2.5174 eV per atom



[2]
A plane-wave DFT calculation with PBE-GGA was carried out for an optimized crystal structure of Be2SbF.

Cell: 6.0322 6.0322 6.0322 Å, 90.00 90.00 90.00°
Space group Fm-3m (No. 225)
Unique sites:
Be1 0.2500 0.2500 0.2500
Sb1 0.0000 0.0000 0.0000
F1 0.0000 0.0000 0.5000

- Calculated volume: 219.5 Å³ per cell
- E_form (uncorrected): -36 kJ/mol of formula units
- VASP energy: -3.4556 eV per atom
- Offset from the most stable computed form: 451.3 meV/atom



[3]
A plane-wave DFT calculation with PBE-GGA was carried out for an optimized crystal structure of ThSc3Ru.

Cell: 11.1467 8.0140 7.4923 Å, 90.00 130.98 90.00°
Space group C2/m (No. 12)
Unique sites:
Th1 0.0470 0.0000 0.3126
Sc1 0.0614 0.5000 0.2589
Sc2 0.2227 0.3015 0.7645
Ru1 0.2466 0.5000 0.0992

- Calculated volume: 505.3 Å³ per cell
- VASP energy: -7.3279 eV per atom



[4]
A plane-wave DFT calculation with PBE-GGA was carried out for an optimized crystal structure of In2GePd3.

Cell: 12.5803 5.7467 6.3023 Å, 90.00 105.17 90.00°
Space group C2/c (No. 15)
Unique sites:
In1 0.1850 0.0021 0.0915
Ge1 0.0000 0.2810 0.7500
Pd1 0.0000 0.1524 0.2500
Pd2 0.1247 0.4964 0.5627

- Calculated volume: 439.8 Å³ per cell
- VASP energy: -4.6366 eV per atom